w:
VASP calculation (PBE) on an optimized crystal structure of PuSnPb.

Lattice parameters (Å, degrees): 3.318 6.042 8.451 90.00 90.00 90.00
Each line ends with the local moment (μB).
Fractional positions:
Pb 0.500 0.250 0.318  -0.02
Pb 0.500 0.750 0.682  -0.02
Pu 0.000 0.750 0.334  5.62
Pu 0.000 0.250 0.666  5.62
Sn 0.000 0.000 0.000  0.01
Sn 0.000 0.500 0.000  0.01

D(E_F)   18.94 states/eV per cell



x:
VASP calculation (PBE) on an optimized crystal structure of PuSnPb.

Lattice parameters (Å, degrees): 3.406 5.364 5.364 120.00 90.00 90.00
Each line ends with the local moment (μB).
Fractional positions:
Pu 0.000 0.000 0.000  -5.57
Sn 0.500 0.667 0.333  0.04
Pb 0.500 0.333 0.667  0.02

D(E_F)   10.24 states/eV per cell



What should be chosen as the least stable of them? Choose w.



w:
VASP calculation (PBE) on an optimized crystal structure of Pu2SnPb.

Lattice parameters (Å, degrees): 3.444 3.444 11.075 81.06 81.06 60.00
Each line ends with the local moment (μB).
Fractional positions:
Sn 0.000 0.000 0.000  -0.06
Pu 0.253 0.253 0.242  5.63
Pu 0.747 0.747 0.758  5.63
Pb 0.500 0.500 0.500  -0.02

D(E_F)   16.56 states/eV per cell



x:
VASP calculation (PBE) on an optimized crystal structure of Pu2SnPb.

Lattice parameters (Å, degrees): 5.388 5.388 5.388 60.00 60.00 60.00
Each line ends with the local moment (μB).
Fractional positions:
Pu 0.250 0.250 0.250  5.54
Pu 0.750 0.750 0.750  5.54
Sn 0.500 0.500 0.500  0.01
Pb 0.000 0.000 0.000  0.01

D(E_F)   18.04 states/eV per cell



What should be chosen as the least stable of them? Choose w.



w:
VASP calculation (PBE) on an optimized crystal structure of SrPuPb.

Lattice parameters (Å, degrees): 3.734 5.585 5.585 120.00 90.00 90.00
Each line ends with the local moment (μB).
Fractional positions:
Sr 0.681 0.333 0.667  0.07
Pb 0.082 0.000 0.000  -0.07
Pu 0.237 0.667 0.333  5.72

D(E_F)   9.77 states/eV per cell



x:
VASP calculation (PBE) on an optimized crystal structure of SrPuPb.

Lattice parameters (Å, degrees): 4.719 4.719 9.139 90.00 90.00 90.00
Each line ends with the local moment (μB).
Fractional positions:
Sr 0.000 0.500 0.855  0.01
Sr 0.500 0.000 0.145  0.01
Pb 0.500 0.000 0.756  -0.09
Pb 0.000 0.500 0.244  -0.09
Pu 0.500 0.500 0.500  5.73
Pu 0.000 0.000 0.500  5.73

D(E_F)   9.99 states/eV per cell



y:
VASP calculation (PBE) on an optimized crystal structure of SrPuPb.

Lattice parameters (Å, degrees): 3.451 3.451 14.344 96.91 96.91 90.00
Fractional positions:
Pu 0.264 0.264 0.527
Pu 0.736 0.736 0.473
Pb 0.153 0.153 0.307
Pb 0.847 0.847 0.693
Sr 0.434 0.434 0.869
Sr 0.566 0.566 0.131

D(E_F)   7.52 states/eV per cell



What should be chosen as the least stable of them? Choose y.



w:
VASP calculation (PBE) on an optimized crystal structure of Pu2TcPb.

Lattice parameters (Å, degrees): 3.253 3.253 8.889 90.00 90.00 90.00
Each line ends with the local moment (μB).
Fractional positions:
Tc 0.500 0.500 0.000  -0.89
Pb 0.500 0.500 0.500  -0.05
Pu 0.000 0.000 0.202  5.17
Pu 0.000 0.000 0.798  5.17

D(E_F)   11.05 states/eV per cell



x:
VASP calculation (PBE) on an optimized crystal structure of Pu2TcPb.

Lattice parameters (Å, degrees): 4.472 4.485 4.485 90.00 90.00 90.00
Each line ends with the local moment (μB).
Fractional positions:
Pu 0.000 0.500 0.000  5.25
Pu 0.000 0.000 0.500  5.25
Tc 0.500 0.500 0.500  -1.43
Pb 0.500 0.000 0.000  -0.06

D(E_F)   9.83 states/eV per cell



y:
VASP calculation (PBE) on an optimized crystal structure of Pu2TcPb.

Lattice parameters (Å, degrees): 3.291 3.291 11.039 81.43 81.43 60.00
Each line ends with the local moment (μB).
Fractional positions:
Pb 0.000 0.000 0.000  0.02
Pu 0.102 0.102 0.694  5.40
Pu 0.898 0.898 0.306  5.40
Tc 0.500 0.500 0.500  -0.59

D(E_F)   13.21 states/eV per cell



What should be chosen as the least stable of them? Choose y.



w:
VASP calculation (PBE) on an optimized crystal structure of Pu2TePb.

Lattice parameters (Å, degrees): 3.642 3.642 8.380 90.00 90.00 90.00
Each line ends with the local moment (μB).
Fractional positions:
Pu 0.000 0.000 0.767  5.54
Pu 0.000 0.000 0.233  5.54
Te 0.500 0.500 0.000  -0.15
Pb 0.500 0.500 0.500  -0.09

D(E_F)   16.20 states/eV per cell



x:
VASP calculation (PBE) on an optimized crystal structure of Pu2TePb.

Lattice parameters (Å, degrees): 4.245 4.245 8.500 75.54 75.54 60.00
Each line ends with the local moment (μB).
Fractional positions:
Pb 0.500 0.500 0.500  0.00
Te 0.000 0.000 0.000  -0.10
Pu 0.254 0.254 0.238  5.43
Pu 0.746 0.746 0.762  5.43

D(E_F)   24.27 states/eV per cell



y:
VASP calculation (PBE) on an optimized crystal structure of Pu2TePb.

Lattice parameters (Å, degrees): 5.390 5.390 5.390 60.00 60.00 60.00
Each line ends with the local moment (μB).
Fractional positions:
Pb 0.000 0.000 0.000  -0.10
Pu 0.750 0.750 0.750  5.43
Pu 0.250 0.250 0.250  5.43
Te 0.500 0.500 0.500  -0.10

D(E_F)   19.60 states/eV per cell



What should be chosen as the least stable of them? Choose y.



w:
VASP calculation (PBE) on an optimized crystal structure of PuThPb.

Lattice parameters (Å, degrees): 3.425 5.425 5.425 120.00 90.00 90.00
Each line ends with the local moment (μB).
Fractional positions:
Th 0.325 0.667 0.333  0.49
Pb 0.971 0.000 0.000  -0.02
Pu 0.705 0.333 0.667  5.74

D(E_F)   8.04 states/eV per cell



x:
VASP calculation (PBE) on an optimized crystal structure of PuThPb.

Lattice parameters (Å, degrees): 3.516 5.295 9.945 90.00 99.79 90.00
Each line ends with the local moment (μB).
Fractional positions:
Th 0.788 0.750 0.075  -0.04
Th 0.212 0.250 0.925  -0.04
Pu 0.603 0.750 0.726  -5.53
Pu 0.397 0.250 0.274  -5.53
Pb 0.027 0.250 0.588  0.02
Pb 0.973 0.750 0.412  0.02

D(E_F)   18.12 states/eV per cell



y:
VASP calculation (PBE) on an optimized crystal structure of PuThPb.

Lattice parameters (Å, degrees): 5.481 5.478 6.819 90.00 90.00 120.02
Each line ends with the local moment (μB).
Fractional positions:
Pb 0.167 0.333 0.750  -0.04
Pb 0.833 0.667 0.250  -0.04
Pu 0.167 0.334 0.250  5.62
Pu 0.833 0.666 0.750  5.62
Th 0.500 0.000 0.500  0.55
Th 0.500 0.000 0.000  0.55

D(E_F)   21.32 states/eV per cell



What should be chosen as the least stable of them? Choose x.



w:
VASP calculation (PBE) on an optimized crystal structure of PuThPb.

Lattice parameters (Å, degrees): 4.173 4.173 5.770 111.20 111.20 90.00
Each line ends with the local moment (μB).
Fractional positions:
Th 0.340 0.340 0.680  0.40
Pu 0.659 0.659 0.317  5.56
Pb 0.001 0.001 0.003  -0.06

D(E_F)   8.10 states/eV per cell



x:
VASP calculation (PBE) on an optimized crystal structure of PuThPb.

Lattice parameters (Å, degrees): 5.628 5.628 6.520 90.00 90.00 120.02
Each line ends with the local moment (μB).
Fractional positions:
Th 0.333 0.667 0.750  0.37
Th 0.667 0.333 0.250  0.37
Pu 0.000 0.000 0.500  5.80
Pu 0.000 0.000 0.000  5.80
Pb 0.334 0.666 0.250  -0.05
Pb 0.666 0.334 0.750  -0.05

D(E_F)   13.03 states/eV per cell



What should be chosen as the least stable of them? Choose w.



w:
VASP calculation (PBE) on an optimized crystal structure of PuThTlPb.

Lattice parameters (Å, degrees): 4.664 4.995 4.944 90.00 90.00 90.00
Each line ends with the local moment (μB).
Fractional positions:
Pu 0.500 0.000 0.500  5.63
Tl 0.000 0.000 0.000  0.00
Pb 0.000 0.500 0.500  -0.04
Th 0.500 0.500 0.000  0.42

D(E_F)   10.94 states/eV per cell



x:
VASP calculation (PBE) on an optimized crystal structure of PuThTlPb.

Lattice parameters (Å, degrees): 5.496 5.496 5.496 60.00 60.00 60.00
Each line ends with the local moment (μB).
Fractional positions:
Tl 0.500 0.500 0.500  -0.01
Pu 0.750 0.750 0.750  5.51
Th 0.250 0.250 0.250  0.21
Pb 0.000 0.000 0.000  -0.01

D(E_F)   12.00 states/eV per cell



What should be chosen as the least stable of them? Choose x.



w:
VASP calculation (PBE) on an optimized crystal structure of PuTi2Pb.

Lattice parameters (Å, degrees): 4.880 4.880 4.880 60.00 60.00 60.00
Each line ends with the local moment (μB).
Fractional positions:
Ti 0.750 0.750 0.750  0.70
Ti 0.250 0.250 0.250  0.70
Pu 0.500 0.500 0.500  5.55
Pb 0.000 0.000 0.000  -0.07

D(E_F)   8.65 states/eV per cell



x:
VASP calculation (PBE) on an optimized crystal structure of PuTi2Pb.

Lattice parameters (Å, degrees): 3.931 4.587 4.587 90.00 90.00 90.00
Each line ends with the local moment (μB).
Fractional positions:
Pb 0.500 0.500 0.500  -0.04
Pu 0.500 0.000 0.000  5.21
Ti 0.000 0.000 0.500  0.31
Ti 0.000 0.500 0.000  0.31

D(E_F)   7.10 states/eV per cell



What should be chosen as the least stable of them? Choose w.



w:
VASP calculation (PBE) on an optimized crystal structure of Pu2TlPb.

Lattice parameters (Å, degrees): 3.394 3.394 9.486 90.00 90.00 90.00
Each line ends with the local moment (μB).
Fractional positions:
Pb 0.500 0.500 0.500  -0.07
Pu 0.000 0.000 0.750  5.52
Pu 0.000 0.000 0.250  5.52
Tl 0.500 0.500 0.000  -0.04

D(E_F)   15.51 states/eV per cell



x:
VASP calculation (PBE) on an optimized crystal structure of Pu2TlPb.

Lattice parameters (Å, degrees): 5.435 5.435 5.435 60.00 60.00 60.00
Each line ends with the local moment (μB).
Fractional positions:
Pb 0.000 0.000 0.000  -0.04
Pu 0.750 0.750 0.750  5.57
Pu 0.250 0.250 0.250  5.57
Tl 0.500 0.500 0.500  0.04

D(E_F)   18.89 states/eV per cell



What should be chosen as the least stable of them? Choose x.



w:
VASP calculation (PBE) on an optimized crystal structure of Pu2TlPb.

Lattice parameters (Å, degrees): 4.745 4.799 4.799 90.00 90.00 90.00
Each line ends with the local moment (μB).
Fractional positions:
Tl 0.500 0.000 0.000  -0.03
Pu 0.000 0.500 0.000  5.53
Pu 0.000 0.000 0.500  5.53
Pb 0.500 0.500 0.500  -0.07

D(E_F)   15.81 states/eV per cell



x:
VASP calculation (PBE) on an optimized crystal structure of Pu2TlPb.

Lattice parameters (Å, degrees): 3.446 3.446 11.256 81.20 81.20 60.00
Each line ends with the local moment (μB).
Fractional positions:
Pb 0.500 0.500 0.500  -0.01
Pu 0.749 0.749 0.752  5.68
Pu 0.251 0.251 0.248  5.68
Tl 0.000 0.000 0.000  0.00

D(E_F)   16.92 states/eV per cell



What should be chosen as the least stable of them? Choose x.



w:
VASP calculation (PBE) on an optimized crystal structure of TmPuPb.

Lattice parameters (Å, degrees): 3.234 3.234 9.169 100.16 100.16 90.00
Each line ends with the local moment (μB).
Fractional positions:
Tm 0.770 0.770 0.539  -0.13
Pb 0.131 0.131 0.262  -0.01
Pu 0.949 0.949 0.899  6.00

D(E_F)   6.93 states/eV per cell



x:
VASP calculation (PBE) on an optimized crystal structure of TmPuPb.

Lattice parameters (Å, degrees): 5.160 6.625 6.325 118.51 90.00 112.92
Each line ends with the local moment (μB).
Fractional positions:
Pb 0.833 0.666 0.833  -0.06
Pb 0.167 0.334 0.167  -0.06
Tm 0.825 0.651 0.325  0.12
Tm 0.175 0.349 0.675  0.12
Pu 0.500 0.000 0.236  5.61
Pu 0.500 0.000 0.764  5.61

D(E_F)   16.17 states/eV per cell



What should be chosen as the least stable of them? Choose w.



w:
VASP calculation (PBE) on an optimized crystal structure of TmPuPb.

Lattice parameters (Å, degrees): 3.524 5.317 5.317 120.00 90.00 90.00
Each line ends with the local moment (μB).
Fractional positions:
Pu 0.690 0.333 0.667  5.71
Pb 0.063 0.000 0.000  -0.03
Tm 0.247 0.667 0.333  0.47

D(E_F)   6.77 states/eV per cell



x:
VASP calculation (PBE) on an optimized crystal structure of TmPuPb.

Lattice parameters (Å, degrees): 5.494 5.494 6.305 90.00 90.00 119.99
Each line ends with the local moment (μB).
Fractional positions:
Pu 0.000 0.500 0.000  5.79
Pu 0.000 0.500 0.500  5.79
Tm 0.333 0.167 0.250  0.39
Tm 0.667 0.833 0.750  0.39
Pb 0.667 0.833 0.250  -0.07
Pb 0.333 0.167 0.750  -0.07

D(E_F)   13.68 states/eV per cell



What should be chosen as the least stable of them? Choose w.